1.
Na5LuH4C4O14 | SCAN | single point on PBEsol structure

Structure (POSCAR):
```
Na5LuH4C4O14
1.0
7.548 0.000 0.000
0.000 7.548 0.000
0.000 0.000 11.478
Na Lu H C O
10 2 8 8 28
Direct
0.000 0.000 0.000
0.179 0.321 0.289
0.179 0.321 0.789
0.321 0.821 0.211
0.321 0.821 0.711
0.500 0.500 0.500
0.679 0.179 0.211
0.679 0.179 0.711
0.821 0.679 0.289
0.821 0.679 0.789
0.000 0.000 0.500
0.500 0.500 0.000
0.064 0.584 0.614
0.084 0.564 0.114
0.416 0.064 0.386
0.436 0.084 0.886
0.564 0.916 0.886
0.584 0.936 0.386
0.916 0.436 0.114
0.936 0.416 0.614
0.177 0.712 0.423
0.212 0.677 0.923
0.288 0.177 0.577
0.323 0.212 0.077
0.677 0.788 0.077
0.712 0.823 0.577
0.788 0.323 0.923
0.823 0.288 0.423
0.000 0.500 0.166
0.000 0.500 0.666
0.086 0.769 0.883
0.093 0.822 0.354
0.158 0.746 0.535
0.178 0.093 0.646
0.231 0.086 0.117
0.246 0.658 0.035
0.254 0.158 0.465
0.269 0.586 0.383
0.322 0.593 0.854
0.342 0.246 0.965
0.407 0.322 0.146
0.414 0.269 0.617
0.500 0.000 0.334
0.500 0.000 0.834
0.586 0.731 0.617
0.593 0.678 0.146
0.658 0.754 0.965
0.678 0.407 0.854
0.731 0.414 0.383
0.746 0.842 0.465
0.754 0.342 0.035
0.769 0.914 0.117
0.822 0.907 0.646
0.842 0.254 0.535
0.907 0.178 0.354
0.914 0.231 0.883
```

Calculated values
The raw total energy is -540.908 eV for the cell shown. The space group is No. 114.

2.
BaZrMnCr2 | SCAN | single point on PBEsol structure

Structure (POSCAR):
```
BaZrMnCr2
1.0
4.814 0.000 0.000
0.000 4.814 0.000
0.000 0.000 4.758
Ba Zr Mn Cr
1 1 1 2
Direct
0.000 0.000 0.000
0.500 0.500 0.500
0.000 0.000 0.500
0.000 0.500 0.000
0.500 0.000 0.000
```

Calculated values
The raw total energy is -115.134 eV for the cell shown. The space group is No. 123.

3.
TlPd2PtF | SCAN | single point on PBEsol structure

Structure (POSCAR):
```
TlPd2PtF
1.0
4.179 0.000 0.000
0.000 4.179 0.000
0.000 0.000 4.721
Tl Pd Pt F
1 2 1 1
Direct
0.000 0.000 0.000
0.000 0.500 0.500
0.500 0.000 0.500
0.500 0.500 0.000
0.000 0.000 0.500
```

Calculated values
The space group is No. 123. As for the uncorrected formation energy: 0.5 eV/f.u.

4.
ZrTa3 | SCAN | single point on PBEsol structure

Structure (POSCAR):
```
ZrTa3
1.0
2.753 0.000 0.000
0.000 9.941 0.000
0.000 0.000 5.493
Zr Ta
2 6
Direct
0.000 0.000 0.000
0.500 0.500 0.500
0.000 0.248 0.733
0.000 0.500 0.995
0.000 0.752 0.733
0.500 0.000 0.495
0.500 0.252 0.233
0.500 0.748 0.233
```

Calculated values
The calculation puts the energy above the lowest structure with this stoichiometry at 159 meV per atom. The space group is No. 44.

5.
CsCd2FeTe | SCAN | single point on PBEsol structure

Structure (POSCAR):
```
CsCd2FeTe
1.0
6.050 0.000 0.000
0.000 6.050 0.000
0.000 0.000 4.750
Cs Cd Fe Te
1 2 1 1
Direct
0.000 0.000 0.000
0.000 0.500 0.500
0.500 0.000 0.500
0.500 0.500 0.000
0.500 0.500 0.500
```

Calculated values
The space group is No. 123. As for the uncorrected formation energy: 2.4 eV/f.u.

6.
YAlMo2 | SCAN | single point on PBEsol structure

Structure (POSCAR):
```
YAlMo2
1.0
2.865 0.000 0.000
-1.432 2.481 0.000
0.000 0.000 29.590
Y Al Mo
3 3 6
Direct
0.000 0.000 0.000
0.333 0.667 0.667
0.667 0.333 0.333
0.000 0.000 0.500
0.333 0.667 0.167
0.667 0.333 0.833
0.000 0.000 0.241
0.000 0.000 0.759
0.333 0.667 0.425
0.333 0.667 0.908
0.667 0.333 0.092
0.667 0.333 0.575
```

Calculated values
The raw total energy is -310.454 eV for the cell shown. The space group is No. 166.

7.
Y2MgSb | SCAN | single point on PBEsol structure

Structure (POSCAR):
```
Y2MgSb
1.0
4.664 0.000 0.000
0.000 4.664 0.000
0.000 0.000 9.271
Y Mg Sb
4 2 2
Direct
0.000 0.500 0.250
0.000 0.500 0.750
0.500 0.000 0.250
0.500 0.000 0.750
0.000 0.000 0.000
0.500 0.500 0.500
0.000 0.000 0.500
0.500 0.500 0.000
```

Calculated values
The calculation puts the energy above the lowest structure with this stoichiometry at 99 meV per atom. The space group is No. 139. As for the uncorrected formation energy: -2.3 eV/f.u.

8.
LiPt2W | SCAN | single point on PBEsol structure

Structure (POSCAR):
```
LiPt2W
1.0
3.892 0.000 0.000
0.000 3.892 0.000
0.000 0.000 3.763
Li Pt W
1 2 1
Direct
0.000 0.000 0.000
0.000 0.500 0.500
0.500 0.000 0.500
0.500 0.500 0.000
```

Calculated values
The raw total energy is -212.994 eV for the cell shown. The space group is No. 123.